# BeCr2ReAu

Crystalline BeCr2ReAu at its relaxed geometry (PBE-GGA, the Alexandria database).

Lattice parameters (Å, degrees): 4.6414 4.6414 3.9085 90.00 90.00 90.00
Last column: nearest neighbours and their distance in Å.
Positions (direct):
1 Be 0.0000 0.0000 0.0000  2 Au 1.95
2 Cr 0.0000 0.5000 0.5000  2 Au 2.32
3 Cr 0.5000 0.0000 0.5000  2 Au 2.32
4 Re 0.5000 0.5000 0.0000  8 Cr 3.03, 4 Be 3.28
5 Au 0.0000 0.0000 0.5000  2 Be 1.95

Computed properties:
N(E_F) (states/eV per cell): 9.21
Crystal system: tetragonal
Formation enthalpy at 0 K (eV per atom): 2.00
Magnetic moment (μB per formula unit): 0.012